Compound: Pa2GaHg
Source: Alexandria via LeMat-Bulk
Functional: PBE
Structure: relaxed

Energy relative to the elements = -0.057 eV/atom
Distance to the lowest polymorph of the same formula = 38 meV per atom
Total moment = 0.24 μB per formula unit
Calculated total energy = -5.637 eV per atom
DOS(E_F) = 6.888 states/eV per cell

Geometry as CIF:
```
data_Pa2GaHg
_chemical_formula_sum 'Pa2 Ga1 Hg1'
_cell_length_a 4.422
_cell_length_b 4.422
_cell_length_c 4.653
_cell_angle_alpha 90.00
_cell_angle_beta 90.00
_cell_angle_gamma 90.00
_space_group_name_H-M_alt 'P 4/m m m'
_space_group_IT_number 123
_space_group_name_Hall '-P 4 2'
loop_
_atom_site_label
_atom_site_fract_x
_atom_site_fract_y
_atom_site_fract_z
_atom_site_occupancy
Pa1 0.000 0.500 0.000 1
Ga1 0.000 0.000 0.500 1
Hg1 0.500 0.500 0.500 1
```

---

Compound: CaGdIrPt
Source: Alexandria via LeMat-Bulk
Functional: PBE
Structure: relaxed

Energy relative to the elements = -0.749 eV/atom
Total moment = 6.98 μB per formula unit
Calculated total energy = -8.495 eV per atom
DOS(E_F) = 7.149 states/eV per cell

Geometry as CIF:
```
data_CaGdIrPt
_chemical_formula_sum 'Ca4 Gd4 Ir4 Pt4'
_cell_length_a 6.939
_cell_length_b 6.939
_cell_length_c 6.939
_cell_angle_alpha 90.00
_cell_angle_beta 90.00
_cell_angle_gamma 90.00
_space_group_name_H-M_alt 'F -4 3 m'
_space_group_IT_number 216
_space_group_name_Hall 'F -4 2 3'
loop_
_atom_site_label
_atom_site_fract_x
_atom_site_fract_y
_atom_site_fract_z
_atom_site_occupancy
Ca1 0.000 0.000 0.000 1
Gd1 0.000 0.000 0.500 1
Ir1 0.250 0.250 0.250 1
Pt1 0.250 0.250 0.750 1
```

---

Compound: Tc2Sb3
Source: Alexandria via LeMat-Bulk
Functional: PBE
Structure: relaxed

Distance to the lowest polymorph of the same formula = 175 meV per atom
Uncorrected formation energy = 0.18 eV/atom
Total moment = 0.00 μB per formula unit
Calculated total energy = -6.439 eV per atom
DOS(E_F) = 4.233 states/eV per cell

Geometry as CIF:
```
data_Tc2Sb3
_chemical_formula_sum 'Tc2 Sb3'
_cell_length_a 4.5062
_cell_length_b 4.5062
_cell_length_c 5.8638
_cell_angle_alpha 90.00
_cell_angle_beta 90.00
_cell_angle_gamma 120.00
_space_group_name_H-M_alt 'P -3 m 1'
_space_group_IT_number 164
_space_group_name_Hall '-P 3 2"'
loop_
_atom_site_label
_atom_site_fract_x
_atom_site_fract_y
_atom_site_fract_z
_atom_site_occupancy
Tc1 0.3333 0.6667 0.3416 1
Sb1 0.0000 0.0000 0.5000 1
Sb2 0.3333 0.6667 0.8471 1
```

---

Compound: PuHfSc2
Source: Alexandria via LeMat-Bulk
Functional: PBE
Structure: relaxed

Energy relative to the elements = 0.180 eV/atom
Distance to the lowest polymorph of the same formula = 100 meV per atom
Total moment = 5.23 μB per formula unit
Calculated total energy = -9.057 eV per atom
DOS(E_F) = 35.196 states/eV per cell

Geometry as CIF:
```
data_PuHfSc2
_chemical_formula_sum 'Pu4 Hf4 Sc8'
_cell_length_a 7.248
_cell_length_b 7.248
_cell_length_c 7.248
_cell_angle_alpha 90.00
_cell_angle_beta 90.00
_cell_angle_gamma 90.00
_space_group_name_H-M_alt 'F m -3 m'
_space_group_IT_number 225
_space_group_name_Hall '-F 4 2 3'
loop_
_atom_site_label
_atom_site_fract_x
_atom_site_fract_y
_atom_site_fract_z
_atom_site_occupancy
Pu1 0.000 0.000 0.000 1
Hf1 0.000 0.000 0.500 1
Sc1 0.250 0.250 0.250 1
```